Entry 1:
A relaxed Y2HoAu crystal, computed with GGA-PBE.

Output
**D(E_F)**: 0.953 states/eV/atom
**Raw total energy**: -5.653 eV per atom
**Magnetic moment**: 0.00 μB/atom
**Energy above the lowest structure with this stoichiometry**: 0 meV/atom
**V**: 28.40 Å³/atom

a b c (Å): 6.9685 9.7525 6.6867
angles (deg): 90.00 90.00 90.00
With the nearest neighbours (Å) after each atom.
Space group Pnma (No. 62)
Unique sites:
Y 0.1972 0.0550 0.1952 (multiplicity 8)  2 Au 2.95-3.02
Ho 0.0157 0.2500 0.6180 (multiplicity 4)  2 Au 2.88-2.95
Au 0.0873 0.7500 0.9643 (multiplicity 4)  2 Ho 2.88-2.95, 4 Y 2.95-3.02


Entry 2:
A relaxed Y2HoAu crystal, computed with GGA-PBE.

Output
**D(E_F)**: 1.375 states/eV/atom
**Raw total energy**: -5.584 eV per atom
**Magnetic moment**: 0.00 μB/atom
**Energy above the lowest structure with this stoichiometry**: 69 meV/atom
**V**: 27.79 Å³/atom

a b c (Å): 3.6255 3.6255 8.4574
angles (deg): 90.00 90.00 90.00
With the nearest neighbours (Å) after each atom.
Space group P4/mmm (No. 123)
Unique sites:
Y 0.0000 0.0000 0.2084 (multiplicity 2)  4 Au 3.11
Ho 0.5000 0.5000 0.5000 (multiplicity 1)  8 Y 3.56, 4 Ho 3.63
Au 0.5000 0.5000 0.0000 (multiplicity 1)  8 Y 3.11


Entry 3:
A relaxed Y2HoAu crystal, computed with GGA-PBE.

Output
**D(E_F)**: 1.297 states/eV/atom
**Raw total energy**: -5.597 eV per atom
**Magnetic moment**: 0.00 μB/atom
**Energy above the lowest structure with this stoichiometry**: 56 meV/atom
**V**: 28.78 Å³/atom

a b c (Å): 4.9737 11.9496 7.7468
angles (deg): 90.00 90.00 90.00
With the nearest neighbours (Å) after each atom.
Space group Cmcm (No. 63)
Unique sites:
Y 0.0000 0.1440 0.0332 (multiplicity 8)  3 Au 2.88-3.07
Ho 0.0000 0.4585 0.2500 (multiplicity 4)  1 Au 2.89
Au 0.0000 0.2999 0.7500 (multiplicity 4)  6 Y 2.88-3.07, 1 Ho 2.89


Entry 4:
A relaxed Y2HoAu2 crystal, computed with GGA-PBE.

Output
**D(E_F)**: 1.471 states/eV/atom
**Raw total energy**: -5.518 eV per atom
**Magnetic moment**: 0.00 μB/atom
**V**: 25.44 Å³/atom

a b c (Å): 8.1375 8.1375 3.8421
angles (deg): 90.00 90.00 90.00
With the nearest neighbours (Å) after each atom.
Space group P4/mbm (No. 127)
Unique sites:
Y 0.1624 0.3376 0.0000 (multiplicity 4)  6 Au 3.03-3.09
Ho 0.0000 0.0000 0.5000 (multiplicity 2)  4 Au 3.17
Au 0.1337 0.6337 0.5000 (multiplicity 4)  6 Y 3.03-3.09, 1 Au 3.08, 2 Ho 3.17


Entry 5:
A relaxed YHoAu4 crystal, computed with GGA-PBE.

Output
**D(E_F)**: 0.380 states/eV/atom
**Raw total energy**: -4.890 eV per atom
**Magnetic moment**: 0.00 μB/atom
**V**: 21.18 Å³/atom

a b c (Å): 9.8242 3.7388 7.4833
angles (deg): 90.00 112.38 90.00
With the nearest neighbours (Å) after each atom.
Space group C2/m (No. 12)
Unique sites:
Y 0.0000 0.0000 0.0000 (multiplicity 2)  10 Au 3.05
Ho 0.0000 0.0000 0.5000 (multiplicity 2)  10 Au 3.03-3.04
Au 0.1645 0.5000 0.8295 (multiplicity 4)  5 Au 2.99-3.09, 2 Ho 3.03, 3 Y 3.05
Au 0.1652 0.5000 0.3346 (multiplicity 4)  5 Au 2.99-3.06, 3 Ho 3.03-3.04, 2 Y 3.05


Entry 6:
A relaxed YHoZnAu crystal, computed with GGA-PBE.

Output
**D(E_F)**: 1.019 states/eV/atom
**Raw total energy**: -4.501 eV per atom
**Magnetic moment**: 0.00 μB/atom
**V**: 23.03 Å³/atom

a b c (Å): 7.1689 7.1689 7.1689
angles (deg): 90.00 90.00 90.00
With the nearest neighbours (Å) after each atom.
Space group F-43m (No. 216)
Unique sites:
Y 0.0000 0.0000 0.0000 (multiplicity 4)  4 Zn 3.10, 4 Au 3.10
Ho 0.0000 0.0000 0.5000 (multiplicity 4)  4 Au 3.10, 4 Zn 3.10
Zn 0.2500 0.2500 0.7500 (multiplicity 4)  4 Ho 3.10, 4 Y 3.10
Au 0.2500 0.2500 0.2500 (multiplicity 4)  4 Y 3.10, 4 Ho 3.10


Entry 7:
A relaxed Ho2Zn5Au4 crystal, computed with GGA-PBE.

Output
**D(E_F)**: 0.303 states/eV/atom
**Raw total energy**: -3.085 eV per atom
**Magnetic moment**: 0.00 μB/atom
**V**: 19.30 Å³/atom

a b c (Å): 5.3484 9.0501 17.5407
angles (deg): 90.00 90.00 90.00
With the nearest neighbours (Å) after each atom.
Space group Fmmm (No. 69)
Unique sites:
Ho 0.0000 0.0000 0.1234 (multiplicity 8)  6 Au 3.05-3.07, 4 Zn 3.40
Zn 0.0000 0.0000 0.5000 (multiplicity 4)  4 Zn 2.63, 4 Au 2.71
Zn 0.2500 0.2500 0.0000 (multiplicity 8)  4 Zn 2.63-2.67, 4 Au 2.76
Zn 0.2500 0.2500 0.2500 (multiplicity 8)  4 Au 2.62, 2 Zn 2.67
Au 0.0000 0.1611 0.3700 (multiplicity 16)  5 Zn 2.62-2.76, 1 Au 2.92


Entry 8:
A relaxed Ho2Zn7Au crystal, computed with GGA-PBE.

Output
**D(E_F)**: 0.363 states/eV/atom
**Raw total energy**: -2.474 eV per atom
**Magnetic moment**: 0.00 μB/atom
**V**: 18.41 Å³/atom

a b c (Å): 4.1058 4.1058 10.9199
angles (deg): 90.00 90.00 90.00
With the nearest neighbours (Å) after each atom.
Space group P-4m2 (No. 115)
Unique sites:
Ho 0.0000 0.5000 0.2437 (multiplicity 2)  14 Zn 3.14-3.47, 2 Au 3.47
Zn 0.0000 0.0000 0.0000 (multiplicity 1)  4 Zn 2.52
Zn 0.0000 0.5000 0.6458 (multiplicity 2)  3 Zn 2.41-2.60, 2 Au 2.60
Zn 0.0000 0.5000 0.8661 (multiplicity 2)  5 Zn 2.41-2.52
Zn 0.5000 0.5000 0.0000 (multiplicity 1)  4 Zn 2.52
Zn 0.5000 0.5000 0.5000 (multiplicity 1)  4 Zn 2.60, 4 Au 2.90
Au 0.0000 0.0000 0.5000 (multiplicity 1)  8 Zn 2.60-2.90


Entry 9:
A relaxed HoZn5Au7 crystal, computed with GGA-PBE.

Output
**D(E_F)**: 0.353 states/eV/atom
**Raw total energy**: -2.954 eV per atom
**Magnetic moment**: 0.00 μB/atom
**V**: 17.58 Å³/atom

a b c (Å): 5.3265 9.3734 9.1570
angles (deg): 90.00 90.00 90.00
With the nearest neighbours (Å) after each atom.
Space group Imm2 (No. 44)
Unique sites:
Ho 0.0000 0.0000 0.0000 (multiplicity 2)  10 Au 3.02-3.35
Zn 0.0000 0.5000 0.2517 (multiplicity 2)  4 Zn 2.71, 6 Au 2.72-2.83
Zn 0.2489 0.2508 0.7357 (multiplicity 8)  3 Zn 2.65-2.71, 7 Au 2.66-2.85
Au 0.0000 0.0000 0.3392 (multiplicity 2)  4 Zn 2.85, 3 Au 2.87-3.03, 1 Ho 3.11
Au 0.0000 0.0000 0.6700 (multiplicity 2)  6 Zn 2.76-2.77, 1 Ho 3.02, 1 Au 3.03
Au 0.0000 0.3134 0.4787 (multiplicity 4)  5 Zn 2.66-2.76, 1 Au 2.83
Au 0.0000 0.3338 0.9937 (multiplicity 4)  5 Zn 2.71-2.83, 3 Au 2.94-3.00
Au 0.0000 0.5000 0.7212 (multiplicity 2)  4 Zn 2.69, 6 Au 2.83-2.94


Entry 10:
A relaxed HoZn9Au2 crystal, computed with GGA-PBE.

Output
**D(E_F)**: 0.205 states/eV/atom
**Raw total energy**: -2.056 eV per atom
**Magnetic moment**: 0.00 μB/atom
**Energy above the lowest structure with this stoichiometry**: 87 meV/atom
**V**: 17.14 Å³/atom

a b c (Å): 8.7343 8.7343 3.1129
angles (deg): 90.00 90.00 120.00
With the nearest neighbours (Å) after each atom.
Space group P6/mmm (No. 191)
Unique sites:
Ho 0.0000 0.0000 0.0000 (multiplicity 1)  2 Ho 3.11, 12 Zn 3.14
Zn 0.0000 0.5000 0.0000 (multiplicity 3)  2 Au 2.52
Zn 0.1801 0.3602 0.5000 (multiplicity 6)  6 Zn 2.72-2.88, 2 Au 2.79
Au 0.3333 0.6667 0.0000 (multiplicity 2)  9 Zn 2.52-2.79


Entry 11:
A relaxed Ho3Zn2Au6 crystal, computed with GGA-PBE.

Output
**D(E_F)**: 0.540 states/eV/atom
**Raw total energy**: -3.858 eV per atom
**Magnetic moment**: 0.00 μB/atom
**V**: 20.95 Å³/atom

a b c (Å): 4.2714 4.2714 25.2593
angles (deg): 90.00 90.00 90.00
With the nearest neighbours (Å) after each atom.
Space group I4/mmm (No. 139)
Unique sites:
Ho 0.0000 0.0000 0.0000 (multiplicity 2)  8 Zn 3.24, 8 Au 3.40
Ho 0.0000 0.0000 0.1992 (multiplicity 4)  9 Au 2.90-3.20
Zn 0.0000 0.0000 0.4533 (multiplicity 4)  1 Zn 2.36, 4 Au 2.59
Au 0.0000 0.0000 0.3140 (multiplicity 4)  5 Ho 2.90-3.04, 4 Au 2.96
Au 0.0000 0.5000 0.1048 (multiplicity 8)  2 Zn 2.59


Entry 12:
A relaxed HoZn4Au crystal, computed with GGA-PBE.

Output
**D(E_F)**: 0.544 states/eV/atom
**Raw total energy**: -2.393 eV per atom
**Magnetic moment**: 0.00 μB/atom
**Energy above the lowest structure with this stoichiometry**: 85 meV/atom
**V**: 17.40 Å³/atom

a b c (Å): 7.4746 7.4746 7.4746
angles (deg): 90.00 90.00 90.00
With the nearest neighbours (Å) after each atom.
Space group F-43m (No. 216)
Unique sites:
Ho 0.0000 0.0000 0.0000 (multiplicity 4)  12 Zn 3.10, 4 Au 3.24
Zn 0.1251 0.1251 0.3749 (multiplicity 16)  6 Zn 2.64
Au 0.2500 0.2500 0.7500 (multiplicity 4)  12 Zn 3.10, 4 Ho 3.24